Compound: FeGeNF2
Source: the Alexandria database
Functional: GGA-PBEsol
Structure: optimized geometry Values from VASP.

Output
Crystal system: tetragonal
DOS at the Fermi energy in states/eV/cell: 3.0
Energy in eV/f.u.: -29.28
Space-group type: P4/mmm, No. 123
Calculated volume in Å³/cell: 58.3

Quantum ESPRESSO input file:
```
&SYSTEM
  ibrav = 0, nat = 5, ntyp = 4
/
ATOMIC_SPECIES
Fe 55.84 Fe.upf
Ge 72.64 Ge.upf
N 14.01 N.upf
F 19.00 F.upf
ATOMIC_POSITIONS angstrom
Fe 0.000 0.000 0.000
Ge 1.966 1.966 1.884
N 0.000 0.000 1.884
F 0.000 1.966 0.000
F 1.966 0.000 0.000
CELL_PARAMETERS angstrom
3.931 0.000 0.000
0.000 3.931 0.000
0.000 0.000 3.769
```

Compound: NaSeS2Cl
Source: the Alexandria database
Functional: GGA-PBEsol
Structure: optimized geometry Values from VASP.

Output
Crystal system: tetragonal
DOS at the Fermi energy in states/eV/cell: 2.2
Energy in eV/f.u.: -16.96
Space-group type: P4/mmm, No. 123
Calculated volume in Å³/cell: 117.3

Quantum ESPRESSO input file:
```
&SYSTEM
  ibrav = 0, nat = 5, ntyp = 4
/
ATOMIC_SPECIES
Na 22.99 Na.upf
Se 78.96 Se.upf
S 32.06 S.upf
Cl 35.45 Cl.upf
ATOMIC_POSITIONS angstrom
Na 0.000 0.000 0.000
Se 2.390 2.390 2.567
S 0.000 2.390 2.567
S 2.390 0.000 2.567
Cl 2.390 2.390 0.000
CELL_PARAMETERS angstrom
4.780 0.000 0.000
0.000 4.780 0.000
0.000 0.000 5.135
```

Compound: Mg2CdAg
Source: the Alexandria database
Functional: GGA-PBEsol
Structure: optimized geometry Values from VASP.

Output
Crystal system: trigonal
DOS at the Fermi energy in states/eV/cell: 1.9
Energy in eV/f.u.: -8.26
DFT formation energy in meV/atom: -79
Excess energy over the best structure of this formula in the dataset in meV/atom: 109
Space-group type: R-3m, No. 166
Calculated volume in Å³/cell: 78.6

Quantum ESPRESSO input file:
```
&SYSTEM
  ibrav = 0, nat = 4, ntyp = 3
/
ATOMIC_SPECIES
Mg 24.30 Mg.upf
Cd 112.41 Cd.upf
Ag 107.87 Ag.upf
ATOMIC_POSITIONS angstrom
Mg 0.000 0.000 6.921
Mg 0.000 0.000 21.237
Cd 0.000 0.000 0.000
Ag 0.000 0.000 14.079
CELL_PARAMETERS angstrom
1.555 0.898 9.386
-1.555 0.898 9.386
0.000 -1.796 9.386
```

Compound: LiPt2W
Source: the Alexandria database
Functional: GGA-PBEsol
Structure: optimized geometry Values from VASP.

Output
Crystal system: orthorhombic
DOS at the Fermi energy in states/eV/cell: 2.2
Energy in eV/f.u.: -31.17
DFT formation energy in meV/atom: -368
Space-group type: Pmm2, No. 25
Calculated volume in Å³/cell: 57.6

Quantum ESPRESSO input file:
```
&SYSTEM
  ibrav = 0, nat = 4, ntyp = 3
/
ATOMIC_SPECIES
Li 6.94 Li.upf
Pt 195.08 Pt.upf
W 183.84 W.upf
ATOMIC_POSITIONS angstrom
Li 0.000 0.000 0.000
Pt 1.347 0.000 2.453
Pt 1.347 2.248 4.237
W 0.000 2.248 1.772
CELL_PARAMETERS angstrom
2.695 0.000 0.000
0.000 4.497 0.000
0.000 0.000 4.752
```

Compound: Ba2V3O9
Source: the Alexandria database
Functional: GGA-PBEsol
Structure: optimized geometry Values from VASP.

Output
Crystal system: monoclinic
DOS at the Fermi energy in states/eV/cell: 5.3
Energy in eV/f.u.: -118.07
Space-group type: P2_1, No. 4
Calculated volume in Å³/cell: 414.4

Quantum ESPRESSO input file:
```
&SYSTEM
  ibrav = 0, nat = 28, ntyp = 3
/
ATOMIC_SPECIES
Ba 137.33 Ba.upf
V 50.94 V.upf
O 16.00 O.upf
ATOMIC_POSITIONS angstrom
Ba 0.746 0.000 1.965
Ba -0.559 3.107 5.032
Ba 5.047 0.221 3.457
Ba 3.741 2.886 6.523
V -2.454 0.220 6.826
V 0.115 1.742 8.421
V 1.463 0.183 5.842
V 3.024 3.070 2.646
V 4.373 4.629 0.068
V 6.941 3.107 1.662
O -0.229 3.366 0.626
O -2.686 4.588 5.921
O -2.517 1.495 5.713
O 0.260 0.139 4.669
O -0.888 0.191 7.782
O -0.754 3.081 7.820
O 1.519 3.191 3.373
O 3.138 1.617 1.657
O 3.239 4.509 1.668
O 1.248 1.623 6.821
O 1.350 4.504 6.831
O 2.968 0.305 5.116
O 5.242 0.195 0.669
O 5.375 3.077 0.707
O 4.227 3.025 3.819
O 7.004 4.381 2.775
O 7.173 1.702 2.567
O 4.716 0.480 7.862
CELL_PARAMETERS angstrom
8.457 0.000 0.000
0.000 5.773 0.000
-3.969 0.000 8.488
```

Compound: CsZnPb3
Source: the Alexandria database
Functional: GGA-PBEsol
Structure: optimized geometry Values from VASP.

Output
Crystal system: cubic
DOS at the Fermi energy in states/eV/cell: 8.4
Energy in eV/f.u.: -7.21
DFT formation energy in meV/atom: 1461
Space-group type: Pm-3m, No. 221
Calculated volume in Å³/cell: 239.5

Quantum ESPRESSO input file:
```
&SYSTEM
  ibrav = 0, nat = 5, ntyp = 3
/
ATOMIC_SPECIES
Cs 132.91 Cs.upf
Zn 65.41 Zn.upf
Pb 207.20 Pb.upf
ATOMIC_POSITIONS angstrom
Cs 0.000 0.000 0.000
Zn 3.105 3.105 3.105
Pb 0.000 0.000 3.105
Pb 0.000 3.105 0.000
Pb 3.105 0.000 0.000
CELL_PARAMETERS angstrom
6.210 0.000 0.000
0.000 6.210 0.000
0.000 0.000 6.210
```

Compound: CdIn2Br
Source: the Alexandria database
Functional: GGA-PBEsol
Structure: optimized geometry Values from VASP.

Output
Crystal system: orthorhombic
DOS at the Fermi energy in states/eV/cell: 1.3
Energy in eV/f.u.: -9.65
Space-group type: Imm2, No. 44
Calculated volume in Å³/cell: 102.5

Quantum ESPRESSO input file:
```
&SYSTEM
  ibrav = 0, nat = 4, ntyp = 3
/
ATOMIC_SPECIES
Cd 112.41 Cd.upf
In 114.82 In.upf
Br 79.90 Br.upf
ATOMIC_POSITIONS angstrom
Cd 0.000 0.000 0.000
In 1.792 0.000 2.532
In 0.000 0.000 5.286
Br 0.000 2.659 2.754
CELL_PARAMETERS angstrom
-1.792 2.659 5.380
1.792 -2.659 5.380
1.792 2.659 -5.380
```

Compound: BaTaIn2
Source: the Alexandria database
Functional: GGA-PBEsol
Structure: optimized geometry Values from VASP.

Output
Crystal system: tetragonal
DOS at the Fermi energy in states/eV/cell: 2.9
Energy in eV/f.u.: -18.89
DFT formation energy in meV/atom: 443
Excess energy over the best structure of this formula in the dataset in meV/atom: 150
Space-group type: P4/mmm, No. 123
Calculated volume in Å³/cell: 98.6

Quantum ESPRESSO input file:
```
&SYSTEM
  ibrav = 0, nat = 4, ntyp = 3
/
ATOMIC_SPECIES
Ba 137.33 Ba.upf
Ta 180.95 Ta.upf
In 114.82 In.upf
ATOMIC_POSITIONS angstrom
Ba 0.000 0.000 0.000
Ta 2.856 2.856 0.000
In 0.000 2.856 1.512
In 2.856 0.000 1.512
CELL_PARAMETERS angstrom
5.711 0.000 0.000
0.000 5.711 0.000
0.000 0.000 3.023
```

> What is the calculated volume in the fourth record?

57.6 Å³/cell